Entry 1:
A plane-wave DFT calculation with GGA-PBE was carried out for TaRu2Pt after structural relaxation.

total magnetization: 0.000 μB per atom

a b c (Å): 5.6197 7.4822 2.9082
angles (deg): 90.00 90.00 90.00
Last column: nearest neighbours and their distance in Å.
Space group Cmmm (No. 65)
Unique sites:
Ta: 0.0000 0.0000 0.0000 (multiplicity 2)  8 Ru 2.75, 2 Pt 2.81, 2 Ta 2.91
Ru: 0.2500 0.2500 0.5000 (multiplicity 4)  4 Ta 2.75, 4 Pt 2.75, 4 Ru 2.81-2.91
Pt: 0.0000 0.5000 0.0000 (multiplicity 2)  8 Ru 2.75, 2 Ta 2.81, 2 Pt 2.91


Entry 2:
A plane-wave DFT calculation with GGA-PBE was carried out for Ta2Ru4Pt after structural relaxation.

total magnetization: 0.000 μB per atom

a b c (Å): 9.2880 5.2466 9.2693
angles (deg): 90.00 90.00 90.00
Last column: nearest neighbours and their distance in Å.
Space group Cmce (No. 64)
Unique sites:
Ta: 0.1621 0.0000 0.0000 (multiplicity 8)  4 Ru 2.55-2.64
Ru: 0.0000 0.1083 0.2137 (multiplicity 8)  2 Ta 2.55, 6 Ru 2.58-2.81, 2 Pt 2.71-2.85
Ru: 0.2500 0.1853 0.7500 (multiplicity 8)  6 Ru 2.58-2.81, 2 Ta 2.64
Pt: 0.0000 0.0000 0.5000 (multiplicity 4)  4 Ru 2.71-2.85, 4 Ta 3.02


Entry 3:
A plane-wave DFT calculation with GGA-PBE was carried out for TaRuPt after structural relaxation.

total magnetization: 0.000 μB per atom

a b c (Å): 3.1568 6.3265 10.4126
angles (deg): 90.00 90.00 90.00
Last column: nearest neighbours and their distance in Å.
Space group Imma (No. 74)
Unique sites:
Ta: 0.0000 0.0000 0.0000 (multiplicity 4)  4 Pt 2.68, 4 Ru 2.68
Ru: 0.0000 0.2500 0.3582 (multiplicity 4)  4 Ta 2.68, 2 Ru 2.75, 1 Pt 2.95
Pt: 0.0000 0.2500 0.6418 (multiplicity 4)  4 Ta 2.68, 2 Pt 2.75, 1 Ru 2.95


Entry 4:
A plane-wave DFT calculation with GGA-PBE was carried out for TaRu2Pt after structural relaxation.

total magnetization: 0.000 μB per atom

a b c (Å): 9.1338 2.8278 4.8406
angles (deg): 90.00 101.10 90.00
Last column: nearest neighbours and their distance in Å.
Space group C2/m (No. 12)
Unique sites:
Ta: 0.0000 0.0000 0.0000 (multiplicity 2)  6 Ru 2.75-2.82, 4 Pt 2.80, 2 Ta 2.83
Ru: 0.2469 0.5000 0.2550 (multiplicity 4)  3 Pt 2.74-2.77, 3 Ta 2.75-2.82, 6 Ru 2.75-2.85
Pt: 0.0000 0.5000 0.5000 (multiplicity 2)  6 Ru 2.74-2.77, 4 Ta 2.80, 2 Pt 2.83


Entry 5:
A plane-wave DFT calculation with GGA-PBE was carried out for TaRu2Pt after structural relaxation.

total magnetization: 0.000 μB per atom

a b c (Å): 2.7959 2.7959 27.3805
angles (deg): 90.00 90.00 120.00
Last column: nearest neighbours and their distance in Å.
Space group R-3m (No. 166, hexagonal axes)
Unique sites:
Ta: 0.0000 0.0000 0.0000 (multiplicity 3)  6 Ru 2.79, 6 Ta 2.80
Ru: 0.0000 0.0000 0.2500 (multiplicity 6)  3 Ta 2.79, 3 Pt 2.80, 6 Ru 2.80
Pt: 0.0000 0.0000 0.5000 (multiplicity 3)  6 Ru 2.80, 6 Pt 2.80


Entry 6:
A plane-wave DFT calculation with GGA-PBE was carried out for Ta2RuPt after structural relaxation.

total magnetization: 0.000 μB per atom

a b c (Å): 2.8730 4.6137 4.9949
angles (deg): 90.00 96.19 90.00
Last column: nearest neighbours and their distance in Å.
Space group Pm (No. 6)
Unique sites:
Ta: 0.0000 0.0000 0.0000 (multiplicity 1)  2 Ru 2.58-2.87, 4 Pt 2.76-2.87, 2 Ta 2.87
Ta: 0.1774 0.5000 0.6271 (multiplicity 1)  3 Pt 2.71-2.82, 4 Ru 2.73-2.84, 2 Ta 2.87
Ru: 0.6166 0.0000 0.5076 (multiplicity 1)  6 Ta 2.58-2.87, 2 Ru 2.87
Pt: 0.5658 0.5000 0.1463 (multiplicity 1)  7 Ta 2.71-2.87, 2 Pt 2.87, 2 Ru 2.92


Entry 7:
A plane-wave DFT calculation with GGA-PBE was carried out for TaRu2Pt after structural relaxation.

total magnetization: 0.472 μB per atom

a b c (Å): 6.3096 6.3096 6.3096
angles (deg): 90.00 90.00 90.00
Last column: nearest neighbours and their distance in Å.
Space group F-43m (No. 216)
Unique sites:
Ta: 0.0000 0.0000 0.0000 (multiplicity 4)  4 Ru 2.73, 4 Pt 2.73
Ru: 0.0000 0.0000 0.5000 (multiplicity 4)  4 Pt 2.73, 4 Ru 2.73
Ru: 0.2500 0.2500 0.7500 (multiplicity 4)  4 Ta 2.73, 4 Ru 2.73
Pt: 0.2500 0.2500 0.2500 (multiplicity 4)  4 Ta 2.73, 4 Ru 2.73


Entry 8:
A plane-wave DFT calculation with GGA-PBE was carried out for TaRuPt2 after structural relaxation.

total magnetization: 0.000 μB per atom

a b c (Å): 3.3589 3.3589 5.6484
angles (deg): 90.00 90.00 90.00
Last column: nearest neighbours and their distance in Å.
Space group P4mm (No. 99)
Unique sites:
Ta: 0.0000 0.0000 0.0000 (multiplicity 1)  4 Ru 2.75, 6 Pt 2.77-2.86
Ru: 0.5000 0.5000 0.7547 (multiplicity 1)  4 Ta 2.75, 6 Pt 2.76-2.85
Pt: 0.0000 0.0000 0.5055 (multiplicity 1)  4 Ru 2.76, 4 Pt 2.78, 2 Ta 2.79-2.86
Pt: 0.5000 0.5000 0.2510 (multiplicity 1)  4 Ta 2.77, 4 Pt 2.78, 2 Ru 2.80-2.85


Entry 9:
A plane-wave DFT calculation with GGA-PBE was carried out for TaRuPt after structural relaxation.

total magnetization: 0.000 μB per atom

a b c (Å): 4.4816 4.4816 2.7582
angles (deg): 90.00 90.00 120.00
Last column: nearest neighbours and their distance in Å.
Space group P3m1 (No. 156)
Unique sites:
Ta: 0.0000 0.0000 0.0000 (multiplicity 1)  3 Pt 2.67, 3 Ru 2.71, 2 Ta 2.76
Ru: 0.6667 0.3333 0.7072 (multiplicity 1)  3 Ta 2.71, 2 Ru 2.76, 6 Pt 2.89-2.98
Pt: 0.3333 0.6667 0.2406 (multiplicity 1)  3 Ta 2.67, 2 Pt 2.76, 6 Ru 2.89-2.98


Entry 10:
A plane-wave DFT calculation with GGA-PBE was carried out for TaRuPt2 after structural relaxation.

total magnetization: 0.000 μB per atom

a b c (Å): 5.4786 8.0725 2.8214
angles (deg): 90.00 90.00 90.00
Last column: nearest neighbours and their distance in Å.
Space group Cmmm (No. 65)
Unique sites:
Ta: 0.0000 0.0000 0.0000 (multiplicity 2)  2 Ru 2.74, 8 Pt 2.82, 2 Ta 2.82
Ru: 0.0000 0.5000 0.0000 (multiplicity 2)  2 Ta 2.74, 8 Pt 2.82, 2 Ru 2.82
Pt: 0.2500 0.2500 0.5000 (multiplicity 4)  4 Pt 2.74-2.82, 4 Ta 2.82, 4 Ru 2.82


Entry 11:
A plane-wave DFT calculation with GGA-PBE was carried out for Ta2RuPt after structural relaxation.

total magnetization: 0.000 μB per atom

a b c (Å): 5.7759 7.7294 2.9149
angles (deg): 90.00 90.00 90.00
Last column: nearest neighbours and their distance in Å.
Space group Cmmm (No. 65)
Unique sites:
Ta: 0.2500 0.2500 0.0000 (multiplicity 4)  4 Ru 2.82, 4 Pt 2.82, 4 Ta 2.89-2.91
Ru: 0.0000 0.0000 0.5000 (multiplicity 2)  8 Ta 2.82, 2 Pt 2.89, 2 Ru 2.91
Pt: 0.0000 0.5000 0.5000 (multiplicity 2)  8 Ta 2.82, 2 Ru 2.89, 2 Pt 2.91


Entry 12:
A plane-wave DFT calculation with GGA-PBE was carried out for Ta2RuPt after structural relaxation.

total magnetization: 0.000 μB per atom

a b c (Å): 3.6305 4.3242 8.4200
angles (deg): 90.00 90.00 90.00
Last column: nearest neighbours and their distance in Å.
Space group Cmm2 (No. 35)
Unique sites:
Ta: 0.0000 0.0000 0.0000 (multiplicity 2)  4 Pt 2.76-3.00, 6 Ta 2.82-2.93
Ta: 0.0000 0.5000 0.2733 (multiplicity 2)  4 Ru 2.70-2.94, 6 Ta 2.82-2.93
Ru: 0.0000 0.0000 0.5104 (multiplicity 2)  4 Ta 2.70-2.94, 4 Pt 2.73-2.97, 4 Ru 2.82
Pt: 0.0000 0.5000 0.7531 (multiplicity 2)  4 Ru 2.73-2.97, 4 Ta 2.76-3.00, 4 Pt 2.82


Entry 13:
A plane-wave DFT calculation with GGA-PBE was carried out for TaRuPt2 after structural relaxation.

total magnetization: 0.000 μB per atom

a b c (Å): 3.8897 3.8897 4.0828
angles (deg): 90.00 90.00 90.00
Last column: nearest neighbours and their distance in Å.
Space group P4/mmm (No. 123)
Unique sites:
Ta: 0.0000 0.0000 0.0000 (multiplicity 1)  4 Ru 2.75, 8 Pt 2.82
Ru: 0.5000 0.5000 0.0000 (multiplicity 1)  4 Ta 2.75, 8 Pt 2.82
Pt: 0.0000 0.5000 0.5000 (multiplicity 2)  4 Pt 2.75, 4 Ta 2.82, 4 Ru 2.82


Entry 14:
A plane-wave DFT calculation with GGA-PBE was carried out for Ta2RuPt after structural relaxation.

total magnetization: 0.000 μB per atom

a b c (Å): 4.0850 4.0850 7.7763
angles (deg): 90.00 90.00 90.00
Last column: nearest neighbours and their distance in Å.
Space group I4/mmm (No. 139)
Unique sites:
Ta: 0.0000 0.5000 0.2500 (multiplicity 4)  4 Ru 2.82, 4 Pt 2.82, 4 Ta 2.89
Ru: 0.0000 0.0000 0.0000 (multiplicity 2)  8 Ta 2.82, 4 Pt 2.89
Pt: 0.0000 0.0000 0.5000 (multiplicity 2)  8 Ta 2.82, 4 Ru 2.89


Entry 15:
A plane-wave DFT calculation with GGA-PBE was carried out for Ta2RuPt after structural relaxation.

total magnetization: 0.000 μB per atom

a b c (Å): 4.0755 4.0755 3.9035
angles (deg): 90.00 90.00 90.00
Last column: nearest neighbours and their distance in Å.
Space group P4/mmm (No. 123)
Unique sites:
Ta: 0.0000 0.5000 0.0000 (multiplicity 2)  4 Pt 2.82, 4 Ru 2.82, 4 Ta 2.88
Ru: 0.0000 0.0000 0.5000 (multiplicity 1)  8 Ta 2.82, 4 Pt 2.88
Pt: 0.5000 0.5000 0.5000 (multiplicity 1)  8 Ta 2.82, 4 Ru 2.88


| no. | DFT total energy (eV/cell) |
| --- | --- |
| 1 | -74.650 |
| 2 | -266.912 |
| 3 | -111.013 |
| 4 | -74.610 |
| 5 | -108.946 |
| 6 | -40.747 |
| 7 | -145.342 |
| 8 | -34.576 |
| 9 | -27.964 |
| 10 | -69.502 |
| 11 | -81.545 |
| 12 | -79.299 |
| 13 | -35.646 |
| 14 | -81.941 |
| 15 | -40.906 |